# 1
Li2TiCrO4: single point on PBEsol structure, SCAN.

The structure in CIF format:
```
data_Li2TiCrO4
_symmetry_space_group_name_H-M 'P 1 2/m 1'
_symmetry_Int_Tables_number 10
_symmetry_space_group_name_Hall '-P 2y'
_cell_length_a 4.882
_cell_length_b 2.891
_cell_length_c 5.151
_cell_angle_alpha 90.00
_cell_angle_beta 108.60
_cell_angle_gamma 90.00
loop_
_atom_site_label
_atom_site_type_symbol
_atom_site_fract_x
_atom_site_fract_y
_atom_site_fract_z
_atom_site_occupancy
Li1 Li 0.000 0.000 0.000 1
Li2 Li 0.500 0.500 0.000 1
Ti1 Ti 0.000 0.500 0.500 1
Cr1 Cr 0.500 0.000 0.500 1
O1 O 0.245 0.000 0.738 1
O2 O 0.262 0.500 0.267 1
```



# 2
Li2TiCrO4: single point on PBEsol structure, SCAN.

The structure in CIF format:
```
data_Li2TiCrO4
_symmetry_space_group_name_H-M 'I m m a'
_symmetry_Int_Tables_number 74
_symmetry_space_group_name_Hall '-I 2b 2'
_cell_length_a 5.797
_cell_length_b 5.854
_cell_length_c 8.128
_cell_angle_alpha 90.00
_cell_angle_beta 90.00
_cell_angle_gamma 90.00
loop_
_atom_site_label
_atom_site_type_symbol
_atom_site_fract_x
_atom_site_fract_y
_atom_site_fract_z
_atom_site_occupancy
Li1 Li 0.000 0.000 0.000 1
Li2 Li 0.250 0.250 0.250 1
Ti1 Ti 0.250 0.250 0.750 1
Cr1 Cr 0.000 0.000 0.500 1
O1 O 0.000 0.009 0.747 1
O2 O 0.235 0.250 0.502 1
```



# 3
Li4Ti3V3Cr2O16: single point on PBEsol structure, SCAN.

The structure in CIF format:
```
data_Li4Ti3V3Cr2O16
_symmetry_space_group_name_H-M 'C 1 m 1'
_symmetry_Int_Tables_number 8
_symmetry_space_group_name_Hall 'C -2y'
_cell_length_a 9.991
_cell_length_b 5.773
_cell_length_c 9.466
_cell_angle_alpha 90.00
_cell_angle_beta 90.08
_cell_angle_gamma 90.00
loop_
_atom_site_label
_atom_site_type_symbol
_atom_site_fract_x
_atom_site_fract_y
_atom_site_fract_z
_atom_site_occupancy
Li1 Li 0.000 0.000 0.000 1
Li2 Li 0.000 0.000 0.496 1
Li3 Li 0.174 0.500 0.395 1
Li4 Li 0.340 0.000 0.895 1
Ti1 Ti 0.093 0.253 0.718 1
Ti2 Ti 0.169 0.000 0.218 1
V1 V 0.334 0.500 0.710 1
V2 V 0.417 0.234 0.213 1
Cr1 Cr 0.173 0.500 0.990 1
Cr2 Cr 0.338 0.000 0.486 1
O1 O 0.005 0.000 0.815 1
O2 O 0.026 0.500 0.844 1
O3 O 0.086 0.253 0.104 1
O4 O 0.166 0.500 0.601 1
O5 O 0.170 0.000 0.603 1
O6 O 0.246 0.281 0.844 1
O7 O 0.264 0.218 0.344 1
O8 O 0.333 0.000 0.098 1
O9 O 0.338 0.500 0.109 1
O10 O 0.418 0.252 0.607 1
O11 O 0.486 0.000 0.344 1
O12 O 0.498 0.500 0.311 1
```



# 4
Li3V3Cr2O10: single point on PBEsol structure, SCAN.

The structure in CIF format:
```
data_Li3V3Cr2O10
_symmetry_space_group_name_H-M 'P -1'
_symmetry_Int_Tables_number 2
_symmetry_space_group_name_Hall '-P 1'
_cell_length_a 4.885
_cell_length_b 4.892
_cell_length_c 7.496
_cell_angle_alpha 71.80
_cell_angle_beta 72.83
_cell_angle_gamma 80.71
loop_
_atom_site_label
_atom_site_type_symbol
_atom_site_fract_x
_atom_site_fract_y
_atom_site_fract_z
_atom_site_occupancy
Li1 Li 0.000 0.000 0.000 1
Li2 Li 0.497 0.282 0.926 1
V1 V 0.005 0.160 0.604 1
V2 V 0.500 0.500 0.500 1
Cr1 Cr 0.005 0.607 0.800 1
O1 O 0.221 0.622 0.968 1
O2 O 0.222 0.461 0.365 1
O3 O 0.225 0.038 0.170 1
O4 O 0.241 0.266 0.739 1
O5 O 0.263 0.838 0.553 1
```



Respective density of states at the Fermi level values: 1.53; 1.61; 2.78; 0.06 states/eV/f.u..
Respective total magnetic moment values: 2.00; 7.99; 22.00; 4.06 Bohr magnetons per cell.
Respective uncorrected energy values: -10.690; -10.695; -11.603; -11.284 eV per atom.